DFT (PBE-GGA) results for a relaxed BaAgRu crystal.

Unit cell a=4.9665 b=4.9665 c=4.9665 alpha=60.00 beta=60.00 gamma=60.00
Element x y z (fractional)
Ba1 0.0000 0.0000 0.0000
Ag1 0.2500 0.2500 0.2500
Ru1 0.7500 0.7500 0.7500

Summary:
E above lowest polymorph ... 789 meV/atom
Mass density ... 6.638 g cm⁻³
Energy of formation ... 1.341 eV/atom